The following is a DFT calculation (PBE) of NdPPtO after structural relaxation.

The structure in CIF format:
```
data_NdPPtO
_space_group_name_H-M_alt 'P 4/n m m'
_space_group_IT_number 129
_cell_length_a 4.1857
_cell_length_b 4.1857
_cell_length_c 7.9282
_cell_angle_alpha 90.00
_cell_angle_beta 90.00
_cell_angle_gamma 90.00
loop_
_space_group_symop_operation_xyz
'x,y,z'
'-x,-y,-z'
'-y+1/2,x,z'
'y+1/2,-x,-z'
'-x+1/2,-y+1/2,z'
'x+1/2,y+1/2,-z'
'y,-x+1/2,z'
'-y,x+1/2,-z'
'x+1/2,-y,-z'
'-x+1/2,y,z'
'-y,-x,-z'
'y,x,z'
'-x,y+1/2,-z'
'x,-y+1/2,z'
'y+1/2,x+1/2,-z'
'-y+1/2,-x+1/2,z'
loop_
_atom_site_label
_atom_site_type_symbol
_atom_site_fract_x
_atom_site_fract_y
_atom_site_fract_z
_atom_site_occupancy
Nd1 Nd 0.2500 0.2500 0.1400 1
P1 P 0.2500 0.2500 0.6518 1
Pt1 Pt 0.2500 0.7500 0.5000 1
O1 O 0.2500 0.7500 0.0000 1
```

Properties
Raw total energy in eV/atom: -7.14
Magnetization in μB per cell: 0.00

The following is a DFT calculation (PBE) of RbNdPO after structural relaxation.

The structure in CIF format:
```
data_RbNdPO
_space_group_name_H-M_alt 'P m c 21'
_space_group_IT_number 26
_cell_length_a 4.9905
_cell_length_b 7.9605
_cell_length_c 6.8014
_cell_angle_alpha 90.00
_cell_angle_beta 90.00
_cell_angle_gamma 90.00
loop_
_space_group_symop_operation_xyz
'x,y,z'
'-x,-y,z+1/2'
'-x,y,z'
'x,-y,z+1/2'
loop_
_atom_site_label
_atom_site_type_symbol
_atom_site_fract_x
_atom_site_fract_y
_atom_site_fract_z
_atom_site_occupancy
Rb1 Rb 0.0000 0.2255 0.0000 1
Nd1 Nd 0.5000 0.3578 0.5653 1
P1 P 0.0000 0.1953 0.4889 1
O1 O 0.5000 0.4150 0.8827 1
```

Properties
Raw total energy in eV/atom: -5.36
Magnetization in μB per cell: 2.00

The following is a DFT calculation (PBE) of RbNdPO after structural relaxation.

The structure in CIF format:
```
data_RbNdPO
_space_group_name_H-M_alt 'P 4/n m m'
_space_group_IT_number 129
_cell_length_a 5.9922
_cell_length_b 5.9922
_cell_length_c 5.2242
_cell_angle_alpha 90.00
_cell_angle_beta 90.00
_cell_angle_gamma 90.00
loop_
_space_group_symop_operation_xyz
'x,y,z'
'-x,-y,-z'
'-y+1/2,x,z'
'y+1/2,-x,-z'
'-x+1/2,-y+1/2,z'
'x+1/2,y+1/2,-z'
'y,-x+1/2,z'
'-y,x+1/2,-z'
'x+1/2,-y,-z'
'-x+1/2,y,z'
'-y,-x,-z'
'y,x,z'
'-x,y+1/2,-z'
'x,-y+1/2,z'
'y+1/2,x+1/2,-z'
'-y+1/2,-x+1/2,z'
loop_
_atom_site_label
_atom_site_type_symbol
_atom_site_fract_x
_atom_site_fract_y
_atom_site_fract_z
_atom_site_occupancy
Rb1 Rb 0.2500 0.2500 0.0034 1
Nd1 Nd 0.2500 0.7500 0.5000 1
P1 P 0.2500 0.2500 0.5037 1
O1 O 0.2500 0.7500 0.0000 1
```

Properties
Raw total energy in eV/atom: -4.97
Magnetization in μB per cell: 0.00

So what do the calculations give for energy relative to the lowest polymorph listed for this composition? Going down the list: 0; 0; 382 meV per atom.